! CoOs2O | Alexandria | PBE+U | relaxed; values from VASP
&SYSTEM
  ibrav = 0, nat = 8, ntyp = 3
/
ATOMIC_SPECIES
Co 58.93 Co.upf
Os 190.23 Os.upf
O 16.00 O.upf
CELL_PARAMETERS angstrom
4.0806 0.0000 0.0000
0.0000 4.0806 0.0000
2.0403 2.0403 7.1050
ATOMIC_POSITIONS crystal
Co 0.0000 0.0000 0.0000
Co 0.7500 0.2500 0.5000
Os 0.5338 0.1250 0.2500
Os 0.2162 0.6250 0.2500
Os 0.3750 0.4662 0.7500
Os 0.8750 0.7838 0.7500
O 0.5000 0.5000 0.0000
O 0.2500 0.7500 0.5000
! * ΔE to the lowest computed polymorph: 0.38 eV/f.u.
! * symmetry: I-42d
! * calculated volume: 14.79 Å³ per atom